First-principles (PBE-GGA) data for MnAgTe2 after structural relaxation, as listed in Alexandria.

a b c (Å): 4.416 4.416 7.409
angles (deg): 90.00 90.00 120.00
Sites, in units of the cell vectors:
Te  0.000  0.000  0.381
Te  0.667  0.333  0.859
Mn  0.667  0.333  0.507
Ag  0.000  0.000  0.003

Computed properties:
N(E_F) (states/eV/atom): 0.528
Raw formation energy (meV per atom): -38
Magnetization (μB per atom): 1.044
Symmetry: P3m1, No. 156